Computed, not measured: an optimized crystal structure of TbPm6Dy2Tm at the PBE-GGA level of DFT.

Output
The formation enthalpy at 0 K comes out at 1.17 eV per formula unit. As for the space group: No. 15. For the total energy, the calculation gives -4.564 eV per atom.

Cell: 9.6027 8.9134 8.9134 Å, 117.81 93.77 93.77°
With the nearest neighbours (Å) after each atom.
Element x y z (fractional)
1 Pm 0.8121 0.4346 0.9897  2 Pm 3.27-3.62, 1 Dy 3.45, 1 Tm 3.46, 1 Tb 3.58
2 Dy 0.4545 0.7986 0.6990  5 Pm 3.28-3.49, 2 Tb 3.42-3.44, 1 Tm 3.53
3 Pm 0.3121 0.9897 0.4346  2 Pm 3.27-3.62, 1 Dy 3.45, 1 Tm 3.46, 1 Tb 3.58
4 Pm 0.6879 0.0103 0.5654  2 Pm 3.27-3.62, 1 Dy 3.45, 1 Tm 3.46, 1 Tb 3.58
5 Pm 0.6181 0.4911 0.7090  4 Pm 3.27-3.63, 3 Dy 3.28-3.46, 2 Tm 3.44-3.55
6 Tb 0.2500 0.9738 0.0262  4 Dy 3.42-3.44, 4 Pm 3.58-3.66
7 Pm 0.5544 0.7608 0.1198  7 Pm 3.44-3.78, 1 Dy 3.49, 2 Tb 3.66-3.84
8 Dy 0.9545 0.6990 0.7986  5 Pm 3.28-3.49, 2 Tb 3.42-3.44, 1 Tm 3.53
9 Dy 0.5455 0.2014 0.3010  5 Pm 3.28-3.49, 2 Tb 3.42-3.44, 1 Tm 3.53
10 Tm 0.2500 0.4113 0.5887  6 Pm 3.44-3.55, 2 Dy 3.53
11 Pm 0.9456 0.8802 0.2392  7 Pm 3.44-3.78, 1 Dy 3.49, 2 Tb 3.66-3.84
12 Pm 0.4456 0.2392 0.8802  7 Pm 3.44-3.78, 1 Dy 3.49, 2 Tb 3.66-3.84
13 Tb 0.7500 0.0262 0.9738  4 Dy 3.42-3.44, 4 Pm 3.58-3.66
14 Pm 0.0544 0.1198 0.7608  7 Pm 3.44-3.78, 1 Dy 3.49, 2 Tb 3.66-3.84
15 Dy 0.0455 0.3010 0.2014  5 Pm 3.28-3.49, 2 Tb 3.42-3.44, 1 Tm 3.53
16 Pm 0.1181 0.7090 0.4911  4 Pm 3.27-3.63, 3 Dy 3.28-3.46, 2 Tm 3.44-3.55
17 Tm 0.7500 0.5887 0.4113  6 Pm 3.44-3.55, 2 Dy 3.53
18 Pm 0.8819 0.2910 0.5089  4 Pm 3.27-3.63, 3 Dy 3.28-3.46, 2 Tm 3.44-3.55
19 Pm 0.1879 0.5654 0.0103  2 Pm 3.27-3.62, 1 Dy 3.45, 1 Tm 3.46, 1 Tb 3.58
20 Pm 0.3819 0.5089 0.2910  4 Pm 3.27-3.63, 3 Dy 3.28-3.46, 2 Tm 3.44-3.55

=====

Computed, not measured: an optimized crystal structure of Tb2PmDy4Tm at the PBE-GGA level of DFT.

Output
The formation enthalpy at 0 K comes out at 3.48 eV per formula unit. As for the space group: No. 15. For the total energy, the calculation gives -4.176 eV per atom.

Cell: 9.4794 9.4794 11.7434 Å, 128.27 128.27 88.66°
With the nearest neighbours (Å) after each atom.
Element x y z (fractional)
1 Dy 0.2487 0.7534 0.0011  1 Tm 3.28, 3 Tb 3.34-3.39, 2 Dy 3.38-3.41, 2 Pm 3.39-3.40
2 Tb 0.5000 0.5000 0.0000  6 Dy 3.34-3.42, 2 Tb 3.39
3 Dy 0.7513 0.2466 0.9989  1 Tm 3.28, 3 Tb 3.34-3.39, 2 Dy 3.38-3.41, 2 Pm 3.39-3.40
4 Tb 0.0000 0.0000 0.5000  6 Dy 3.34-3.42, 2 Tb 3.39
5 Dy 0.2497 0.2478 0.4967  3 Tb 3.30-3.42, 1 Pm 3.32, 2 Tm 3.37, 2 Dy 3.39
6 Dy 0.7478 0.7497 0.9967  3 Tb 3.30-3.42, 1 Pm 3.32, 2 Tm 3.37, 2 Dy 3.39
7 Tm 0.5000 0.5000 0.5000  6 Dy 3.28-3.37, 2 Tm 3.39
8 Pm 0.0000 0.5000 0.5000  6 Dy 3.32-3.40, 2 Tb 3.39
9 Tm 0.0000 0.0000 0.0000  6 Dy 3.28-3.37, 2 Tm 3.39
10 Dy 0.2534 0.7487 0.5011  1 Tm 3.28, 3 Tb 3.34-3.39, 2 Dy 3.38-3.41, 2 Pm 3.39-3.40
11 Dy 0.7503 0.7522 0.5033  3 Tb 3.30-3.42, 1 Pm 3.32, 2 Tm 3.37, 2 Dy 3.39
12 Dy 0.2522 0.2503 0.0033  3 Tb 3.30-3.42, 1 Pm 3.32, 2 Tm 3.37, 2 Dy 3.39
13 Pm 0.0000 0.5000 0.0000  6 Dy 3.32-3.40, 2 Tb 3.39
14 Tb 0.5000 0.0000 0.0000  6 Dy 3.30-3.39, 2 Pm 3.39
15 Tb 0.5000 0.0000 0.5000  6 Dy 3.30-3.39, 2 Pm 3.39
16 Dy 0.7466 0.2513 0.4989  1 Tm 3.28, 3 Tb 3.34-3.39, 2 Dy 3.38-3.41, 2 Pm 3.39-3.40

=====

Computed, not measured: an optimized crystal structure of Tb2PmDy2Tm at the PBE-GGA level of DFT.

Output
The formation enthalpy at 0 K comes out at 0.95 eV per formula unit. As for the space group: No. 58. For the total energy, the calculation gives -4.457 eV per atom.

Cell: 3.4915 16.1879 6.9170 Å, 90.00 90.00 90.00°
With the nearest neighbours (Å) after each atom.
Element x y z (fractional)
1 Pm 0.0000 0.0000 0.0000  2 Tm 3.46, 2 Pm 3.49, 4 Dy 3.52, 4 Tb 3.54
2 Tm 0.0000 0.0000 0.5000  2 Pm 3.46, 2 Tm 3.49, 4 Dy 3.52, 4 Tb 3.53
3 Dy 0.5000 0.8441 0.7496  4 Tb 3.45-3.49, 2 Dy 3.49, 2 Tm 3.52, 2 Pm 3.52
4 Dy 0.0000 0.6559 0.2496  4 Tb 3.45-3.49, 2 Dy 3.49, 2 Tm 3.52, 2 Pm 3.52
5 Tb 0.5000 0.1572 0.7493  4 Dy 3.45-3.49, 2 Tb 3.49, 2 Tm 3.53, 2 Pm 3.54
6 Tm 0.5000 0.5000 0.0000  2 Pm 3.46, 2 Tm 3.49, 4 Dy 3.52, 4 Tb 3.53
7 Tb 0.0000 0.3428 0.2493  4 Dy 3.45-3.49, 2 Tb 3.49, 2 Tm 3.53, 2 Pm 3.54
8 Tb 0.5000 0.8428 0.2507  4 Dy 3.45-3.49, 2 Tb 3.49, 2 Tm 3.53, 2 Pm 3.54
9 Dy 0.5000 0.1559 0.2504  4 Tb 3.45-3.49, 2 Dy 3.49, 2 Tm 3.52, 2 Pm 3.52
10 Dy 0.0000 0.3441 0.7504  4 Tb 3.45-3.49, 2 Dy 3.49, 2 Tm 3.52, 2 Pm 3.52
11 Tb 0.0000 0.6572 0.7507  4 Dy 3.45-3.49, 2 Tb 3.49, 2 Tm 3.53, 2 Pm 3.54
12 Pm 0.5000 0.5000 0.5000  2 Tm 3.46, 2 Pm 3.49, 4 Dy 3.52, 4 Tb 3.54

=====

Computed, not measured: an optimized crystal structure of TbPm2DyTm at the PBE-GGA level of DFT.

Output
The formation enthalpy at 0 K comes out at 2.13 eV per formula unit. As for the space group: No. 63. For the total energy, the calculation gives -4.215 eV per atom.

Cell: 7.2452 8.3839 7.1164 Å, 126.09 90.00 90.00°
With the nearest neighbours (Å) after each atom.
Element x y z (fractional)
1 Tm 0.7500 0.7312 0.4624  1 Dy 3.21
2 Dy 0.2500 0.9898 0.9795  1 Tb 3.08, 4 Pm 3.16, 1 Tm 3.21
3 Tb 0.2500 0.7221 0.4443  1 Dy 3.08
4 Pm 0.5000 0.6920 0.0000  2 Dy 3.16, 1 Pm 3.22, 2 Tb 3.52
5 Pm 0.0000 0.6920 0.0000  2 Dy 3.16, 1 Pm 3.22, 2 Tb 3.52
6 Pm 0.5000 0.3080 0.0000  2 Dy 3.16, 1 Pm 3.22, 2 Tb 3.52
7 Tb 0.7500 0.2779 0.5557  1 Dy 3.08
8 Tm 0.2500 0.2688 0.5376  1 Dy 3.21
9 Pm 0.0000 0.3080 0.0000  2 Dy 3.16, 1 Pm 3.22, 2 Tb 3.52
10 Dy 0.7500 0.0102 0.0205  1 Tb 3.08, 4 Pm 3.16, 1 Tm 3.21

=====

Which of these has the lowest formation enthalpy at 0 K? Tb2PmDy2Tm

=====

What is the formation enthalpy at 0 K in the first record? 1.17 eV per formula unit